No. 1
VASP calculation (GGA-PBE) on a relaxed YScSe crystal. Values from VASP.

```
&SYSTEM
  ibrav = 0, nat = 3, ntyp = 3
/
ATOMIC_SPECIES
Sc 44.96 Sc.upf
Se 78.96 Se.upf
Y 88.91 Y.upf
ATOMIC_POSITIONS crystal
Sc 0.9770 0.9770 0.0230
Se 0.3418 0.3418 0.6582
Y 0.6811 0.6811 0.3189
CELL_PARAMETERS angstrom
6.5070 0.0051 -0.0046
5.4107 3.3385 0.0783
1.0963 -0.2962 3.3212
```

Fermi-level density of states = 0.855 states/eV/atom
E = -6.344 eV/atom
energy relative to the elements, uncorrected = -2.75 eV/f.u.
energy above the most stable polymorph in this dataset = 3.66 kcal/mol of atoms
magnetic moment = 0.00 μB per formula unit



No. 2
VASP calculation (GGA-PBE) on a relaxed YScSe2 crystal. Values from VASP.

```
&SYSTEM
  ibrav = 0, nat = 4, ntyp = 3
/
ATOMIC_SPECIES
Y 88.91 Y.upf
Sc 44.96 Sc.upf
Se 78.96 Se.upf
ATOMIC_POSITIONS crystal
Y 0.4559 0.4559 0.0000
Sc 0.2087 0.7087 0.5000
Se 0.0487 0.0487 0.0000
Se 0.7867 0.2867 0.5000
CELL_PARAMETERS angstrom
-6.5669 -0.1013 2.5896
-3.1271 -2.4108 5.8524
5.2545 3.5878 -3.0592
```

Fermi-level density of states = 0.650 states/eV/atom
E = -6.544 eV/atom
energy relative to the elements, uncorrected = -6.41 eV/f.u.
energy above the most stable polymorph in this dataset = 1.97 kcal/mol of atoms
magnetic moment = 1.50 μB per formula unit



No. 3
VASP calculation (GGA-PBE) on a relaxed YScSe2 crystal. Values from VASP.

```
&SYSTEM
  ibrav = 0, nat = 8, ntyp = 3
/
ATOMIC_SPECIES
Y 88.91 Y.upf
Sc 44.96 Sc.upf
Se 78.96 Se.upf
ATOMIC_POSITIONS crystal
Y 0.0000 0.0000 0.0000
Y 0.7500 0.2500 0.5000
Sc 0.5000 0.5000 0.0000
Sc 0.2500 0.7500 0.5000
Se 0.6048 0.1250 0.2500
Se 0.1452 0.6250 0.2500
Se 0.3750 0.3952 0.7500
Se 0.8750 0.8548 0.7500
CELL_PARAMETERS angstrom
-4.4054 1.5562 4.1106
-4.3873 -1.9080 -3.9796
-4.1313 -5.8879 2.5120
```

Fermi-level density of states = 0.731 states/eV/atom
E = -6.258 eV/atom
energy relative to the elements, uncorrected = -5.27 eV/f.u.
energy above the most stable polymorph in this dataset = 8.58 kcal/mol of atoms
magnetic moment = 0.00 μB per formula unit



No. 4
VASP calculation (GGA-PBE) on a relaxed YScSe2 crystal. Values from VASP.

```
&SYSTEM
  ibrav = 0, nat = 4, ntyp = 3
/
ATOMIC_SPECIES
Y 88.91 Y.upf
Sc 44.96 Sc.upf
Se 78.96 Se.upf
ATOMIC_POSITIONS crystal
Y 0.0000 0.0000 0.0000
Sc 0.5000 0.5000 0.5000
Se 0.8921 0.8921 0.8921
Se 0.1079 0.1079 0.1079
CELL_PARAMETERS angstrom
-7.4101 4.9533 0.6698
-7.9654 2.2365 3.3830
-5.8058 5.3597 4.1786
```

Fermi-level density of states = 0.394 states/eV/atom
E = -6.247 eV/atom
energy relative to the elements, uncorrected = -5.22 eV/f.u.
energy above the most stable polymorph in this dataset = 8.83 kcal/mol of atoms
magnetic moment = 0.00 μB per formula unit



No. 5
VASP calculation (GGA-PBE) on a relaxed Y2ScSe crystal. Values from VASP.

```
&SYSTEM
  ibrav = 0, nat = 4, ntyp = 3
/
ATOMIC_SPECIES
Sc 44.96 Sc.upf
Se 78.96 Se.upf
Y 88.91 Y.upf
ATOMIC_POSITIONS crystal
Sc 0.5000 0.5000 0.2500
Se 0.5000 0.5000 0.7500
Y 0.0000 0.0000 0.9670
Y 0.0000 0.0000 0.5330
CELL_PARAMETERS angstrom
-3.4108 -0.4514 -0.7683
0.5277 -0.8929 3.3692
-1.7208 8.6439 2.5604
```

Fermi-level density of states = 1.260 states/eV/atom
E = -6.347 eV/atom
energy relative to the elements, uncorrected = -2.65 eV/f.u.
magnetic moment = 0.00 μB per formula unit



No. 6
VASP calculation (GGA-PBE) on a relaxed YScSe2 crystal. Values from VASP.

```
&SYSTEM
  ibrav = 0, nat = 4, ntyp = 3
/
ATOMIC_SPECIES
Y 88.91 Y.upf
Sc 44.96 Sc.upf
Se 78.96 Se.upf
ATOMIC_POSITIONS crystal
Y 0.0000 0.3749 0.3750
Sc 0.5000 0.8751 0.8751
Se 0.0000 0.8749 0.8750
Se 0.5000 0.3751 0.3750
CELL_PARAMETERS angstrom
5.6407 0.0000 0.0000
0.0000 3.9989 -0.0010
0.0000 0.0009 3.9997
```

Fermi-level density of states = 0.507 states/eV/atom
E = -6.591 eV/atom
energy relative to the elements, uncorrected = -6.60 eV/f.u.
energy above the most stable polymorph in this dataset = 0.90 kcal/mol of atoms
magnetic moment = 0.00 μB per formula unit